VASP calculation (PBE) on AgHg2I after structural relaxation.

Cell lengths 4.707, 7.626, 7.525 Å; angles 83.41, 88.51, 81.67 degrees
Fractional coordinates of all 8 atoms:
I (0.780, 0.584, 0.748)
I (0.220, 0.416, 0.252)
Hg (0.781, 0.900, 0.103)
Hg (0.219, 0.100, 0.897)
Hg (0.744, 0.088, 0.594)
Hg (0.256, 0.912, 0.406)
Ag (0.329, 0.401, 0.641)
Ag (0.671, 0.599, 0.359)

Output
The space group is P-1, No. 2. The mass density is 7956 kg/m3. The value obtained for the energy above the most stable polymorph in this dataset is 15 meV per atom. As for the spin magnetization: 0.0 μB/cell. The density of states at the Fermi level is 0.5 states/eV/f.u.